Version i
Material: Pu2BiPb
Method: DFT, PBE
State: relaxed

Structure (POSCAR):
```
Pu2BiPb
1.0
3.5046 0.0000 0.0000
0.0000 3.5046 0.0000
0.0000 0.0000 9.2046
Pb Pu Bi
1 2 1
direct
0.5000 0.5000 0.5000
0.0000 0.0000 0.7517
0.0000 0.0000 0.2483
0.5000 0.5000 0.0000
```

- spin magnetization (μB per cell) = 11.9
- symmetry = P4/mmm (123)

Version ii
Material: Pu2BiPb
Method: DFT, PBE
State: relaxed

Structure (POSCAR):
```
Pu2BiPb
1.0
-2.8161 -3.1068 -3.4969
0.2873 -5.4417 0.3409
-4.3117 -2.8572 1.7483
Pu Bi Pb
2 1 1
direct
0.2500 0.2500 0.2500
0.7500 0.7500 0.7500
0.0000 0.0000 0.0000
0.5000 0.5000 0.5000
```

- spin magnetization (μB per cell) = 12.0
- symmetry = Fm-3m (225)

Version iii
Material: Pu2BiPb
Method: DFT, PBE
State: relaxed

Structure (POSCAR):
```
Pu2BiPb
1.0
-1.7106 2.7869 -3.2374
-4.1101 -2.7650 -0.2085
-2.0716 2.8142 3.5172
Pu Bi Pb
2 1 1
direct
0.0000 0.5000 0.0000
0.0000 0.0000 0.5000
0.5000 0.0000 0.0000
0.5000 0.5000 0.5000
```

- spin magnetization (μB per cell) = 11.9
- symmetry = P4/mmm (123)

Version iv
Material: Pu2BiPb
Method: DFT, PBE
State: relaxed

Structure (POSCAR):
```
Pu2BiPb
1.0
-0.7407 0.0985 3.4536
1.3690 -2.4291 2.1705
8.8496 5.5863 3.5465
Pu Bi Pb
2 1 1
direct
0.2500 0.2500 0.2501
0.7500 0.7500 0.7499
0.5000 0.5000 0.5000
0.0000 0.0000 0.0000
```

- spin magnetization (μB per cell) = 12.3
- symmetry = R-3m (166)

The most stable arrangement is version iii, and the next structure is 0.7 kJ/mol of atoms less stable.